Entry 1:
# Ho2Al2BOs2, relaxed, DFT GGA-PBE
# Energy relative to the elements, meV per atom: -469
# Space-group type: No. 12
data_Ho2Al2BOs2
_chemical_formula_sum 'Ho2 Al2 B1 Os2'
_symmetry_space_group_name_H-M 'P 1'
_symmetry_Int_Tables_number 1
_symmetry_space_group_name_Hall 'P 1'
_cell_length_a 5.867
_cell_length_b 5.867
_cell_length_c 7.054
_cell_angle_alpha 123.54
_cell_angle_beta 123.54
_cell_angle_gamma 40.68
loop_
_atom_site_label
_atom_site_type_symbol
_atom_site_fract_x
_atom_site_fract_y
_atom_site_fract_z
_atom_site_occupancy
Ho1 Ho 0.069 0.069 0.295 1
Ho2 Ho 0.931 0.931 0.705 1
Al1 Al 0.356 0.356 0.316 1
Al2 Al 0.644 0.644 0.684 1
B1 B 0.500 0.500 0.000 1
Os1 Os 0.292 0.292 0.909 1
Os2 Os 0.708 0.708 0.091 1


Entry 2:
# Ho3AlB2Pt8, relaxed, DFT GGA-PBE
# Energy relative to the elements, meV per atom: -819
# Space-group type: No. 164
data_Ho3AlB2Pt8
_chemical_formula_sum 'Ho3 Al1 B2 Pt8'
_symmetry_space_group_name_H-M 'P 1'
_symmetry_Int_Tables_number 1
_symmetry_space_group_name_Hall 'P 1'
_cell_length_a 5.462
_cell_length_b 5.462
_cell_length_c 9.395
_cell_angle_alpha 90.00
_cell_angle_beta 90.00
_cell_angle_gamma 120.00
loop_
_atom_site_label
_atom_site_type_symbol
_atom_site_fract_x
_atom_site_fract_y
_atom_site_fract_z
_atom_site_occupancy
Ho1 Ho 0.000 0.000 0.000 1
Ho2 Ho 0.333 0.667 0.588 1
Ho3 Ho 0.667 0.333 0.412 1
Al1 Al 0.000 0.000 0.500 1
B1 B 0.333 0.667 0.130 1
B2 B 0.667 0.333 0.870 1
Pt1 Pt 0.167 0.333 0.283 1
Pt2 Pt 0.167 0.833 0.283 1
Pt3 Pt 0.333 0.167 0.717 1
Pt4 Pt 0.333 0.667 0.919 1
Pt5 Pt 0.667 0.333 0.081 1
Pt6 Pt 0.667 0.833 0.283 1
Pt7 Pt 0.833 0.167 0.717 1
Pt8 Pt 0.833 0.667 0.717 1


Entry 3:
# Ho3AlB2Pt9, relaxed, DFT GGA-PBE
# Energy relative to the elements, meV per atom: -927
# Space-group type: No. 164
data_Ho3AlB2Pt9
_chemical_formula_sum 'Ho3 Al1 B2 Pt9'
_symmetry_space_group_name_H-M 'P 1'
_symmetry_Int_Tables_number 1
_symmetry_space_group_name_Hall 'P 1'
_cell_length_a 5.716
_cell_length_b 5.716
_cell_length_c 9.175
_cell_angle_alpha 90.00
_cell_angle_beta 90.00
_cell_angle_gamma 120.00
loop_
_atom_site_label
_atom_site_type_symbol
_atom_site_fract_x
_atom_site_fract_y
_atom_site_fract_z
_atom_site_occupancy
Ho1 Ho 0.000 0.000 0.000 1
Ho2 Ho 0.333 0.667 0.603 1
Ho3 Ho 0.667 0.333 0.397 1
Al1 Al 0.000 0.000 0.500 1
B1 B 0.333 0.667 0.150 1
B2 B 0.667 0.333 0.850 1
Pt1 Pt 0.000 0.500 0.000 1
Pt2 Pt 0.164 0.329 0.290 1
Pt3 Pt 0.164 0.836 0.290 1
Pt4 Pt 0.329 0.164 0.710 1
Pt5 Pt 0.500 0.000 0.000 1
Pt6 Pt 0.500 0.500 0.000 1
Pt7 Pt 0.671 0.836 0.290 1
Pt8 Pt 0.836 0.164 0.710 1
Pt9 Pt 0.836 0.671 0.710 1


Entry 4:
# Ho2AlB2Rh5, relaxed, DFT GGA-PBE
# Energy relative to the elements, meV per atom: -890
# Space-group type: No. 127
data_Ho2AlB2Rh5
_chemical_formula_sum 'Ho4 Al2 B4 Rh10'
_symmetry_space_group_name_H-M 'P 1'
_symmetry_Int_Tables_number 1
_symmetry_space_group_name_Hall 'P 1'
_cell_length_a 9.514
_cell_length_b 9.514
_cell_length_c 3.155
_cell_angle_alpha 90.00
_cell_angle_beta 90.00
_cell_angle_gamma 90.00
loop_
_atom_site_label
_atom_site_type_symbol
_atom_site_fract_x
_atom_site_fract_y
_atom_site_fract_z
_atom_site_occupancy
Ho1 Ho 0.176 0.324 0.000 1
Ho2 Ho 0.324 0.824 0.000 1
Ho3 Ho 0.676 0.176 0.000 1
Ho4 Ho 0.824 0.676 0.000 1
Al1 Al 0.000 0.000 0.000 1
Al2 Al 0.500 0.500 0.000 1
B1 B 0.123 0.623 0.000 1
B2 B 0.377 0.123 0.000 1
B3 B 0.623 0.877 0.000 1
B4 B 0.877 0.377 0.000 1
Rh1 Rh 0.000 0.500 0.500 1
Rh2 Rh 0.070 0.781 0.500 1
Rh3 Rh 0.219 0.070 0.500 1
Rh4 Rh 0.281 0.570 0.500 1
Rh5 Rh 0.430 0.281 0.500 1
Rh6 Rh 0.500 0.000 0.500 1
Rh7 Rh 0.570 0.719 0.500 1
Rh8 Rh 0.719 0.430 0.500 1
Rh9 Rh 0.781 0.930 0.500 1
Rh10 Rh 0.930 0.219 0.500 1


Entry 5:
# HoAl2Tc2B, relaxed, DFT GGA-PBE
# Energy relative to the elements, meV per atom: -455
# Space-group type: No. 123
data_HoAl2Tc2B
_chemical_formula_sum 'Ho1 Al2 Tc2 B1'
_symmetry_space_group_name_H-M 'P 1'
_symmetry_Int_Tables_number 1
_symmetry_space_group_name_Hall 'P 1'
_cell_length_a 4.253
_cell_length_b 4.253
_cell_length_c 5.447
_cell_angle_alpha 90.00
_cell_angle_beta 90.00
_cell_angle_gamma 90.00
loop_
_atom_site_label
_atom_site_type_symbol
_atom_site_fract_x
_atom_site_fract_y
_atom_site_fract_z
_atom_site_occupancy
Ho1 Ho 0.000 0.000 0.000 1
Al1 Al 0.500 0.500 0.237 1
Al2 Al 0.500 0.500 0.763 1
Tc1 Tc 0.000 0.500 0.500 1
Tc2 Tc 0.500 0.000 0.500 1
B1 B 0.000 0.000 0.500 1


Entry 6:
# Al2BI, relaxed, DFT GGA-PBE
# Energy above the lowest structure with this stoichiometry, meV/atom: 1168.0
# Energy relative to the elements, uncorrected, eV/f.u.: 4.92
# Space-group type: No. 225
data_Al2BI
_chemical_formula_sum 'Al2 B1 I1'
_symmetry_space_group_name_H-M 'P 1'
_symmetry_Int_Tables_number 1
_symmetry_space_group_name_Hall 'P 1'
_cell_length_a 4.720
_cell_length_b 4.720
_cell_length_c 4.720
_cell_angle_alpha 60.00
_cell_angle_beta 60.00
_cell_angle_gamma 60.00
loop_
_atom_site_label
_atom_site_type_symbol
_atom_site_fract_x
_atom_site_fract_y
_atom_site_fract_z
_atom_site_occupancy
Al1 Al 0.250 0.250 0.250 1
Al2 Al 0.750 0.750 0.750 1
B1 B 0.000 0.000 0.000 1
I1 I 0.500 0.500 0.500 1


M_tot list, top to bottom, in μB per atom: 0.0000; 0.0000; 0.0000; 0.0000; 0.0000; 0.0000